DFT (PBE) results for a relaxed YHo3Ru8 crystal.

Cell: 9.260 9.260 9.260 Å, 33.38 33.38 33.38°
Positions (direct):
Y (0.000, 0.000, 0.000)
Ho (0.125, 0.125, 0.125)
Ho (0.500, 0.500, 0.500)
Ho (0.625, 0.625, 0.625)
Ru (0.063, 0.063, 0.561)
Ru (0.063, 0.561, 0.063)
Ru (0.063, 0.563, 0.563)
Ru (0.313, 0.313, 0.313)
Ru (0.562, 0.063, 0.063)
Ru (0.563, 0.063, 0.563)
Ru (0.563, 0.563, 0.063)
Ru (0.813, 0.813, 0.813)

## Properties
DOS(E_F), states/eV/cell: 14.777
Total DFT energy (no corrections), eV/atom: -8.175
Formation energy, eV per atom: -0.31

***

DFT (PBE) results for a relaxed AgB3F crystal.

Cell: 3.941 3.941 3.941 Å, 90.00 90.00 90.00°
Positions (direct):
Ag (0.000, 0.000, 0.000)
B (0.000, 0.500, 0.500)
B (0.500, 0.000, 0.500)
B (0.500, 0.500, 0.000)
F (0.500, 0.500, 0.500)

## Properties
ΔE_f (raw), eV per atom: 1.922
Polymorph energy (0 for the lowest one), eV/f.u.: 1.21
DOS(E_F), states/eV/cell: 1.798
Total DFT energy (no corrections), eV/atom: -3.029

***

DFT (PBE) results for a relaxed MgTi4Co5 crystal.

Cell: 2.980 2.980 15.025 Å, 90.00 90.00 90.00°
Positions (direct):
Mg (0.000, 0.000, 0.000)
Ti (0.000, 0.000, 0.199)
Ti (0.000, 0.000, 0.400)
Ti (0.000, 0.000, 0.600)
Ti (0.000, 0.000, 0.801)
Co (0.500, 0.500, 0.115)
Co (0.500, 0.500, 0.303)
Co (0.500, 0.500, 0.500)
Co (0.500, 0.500, 0.697)
Co (0.500, 0.500, 0.885)

## Properties
DOS(E_F), states/eV/cell: 8.620
Total DFT energy (no corrections), eV/atom: -7.213
Formation energy, eV per atom: -0.34

***

DFT (PBE) results for a relaxed MnCd crystal.

Cell: 4.761 4.761 5.421 Å, 90.00 90.00 120.00°
Positions (direct):
Mn (0.333, 0.667, 0.250)
Mn (0.667, 0.333, 0.750)
Cd (0.333, 0.667, 0.750)
Cd (0.667, 0.333, 0.250)

## Properties
DOS(E_F), states/eV/cell: 4.870
Total DFT energy (no corrections), eV/atom: -4.069
Formation energy, eV per atom: 0.97

***

DFT (PBE) results for a relaxed Cs2SrPmBr6 crystal.

Cell: 8.383 11.871 8.402 Å, 90.00 90.00 90.00°
Positions (direct):
Cs (0.250, 0.002, 0.249)
Cs (0.250, 0.498, 0.249)
Cs (0.750, 0.502, 0.751)
Cs (0.750, 0.998, 0.751)
Sr (0.250, 0.250, 0.748)
Sr (0.750, 0.750, 0.252)
Pm (0.250, 0.750, 0.752)
Pm (0.750, 0.250, 0.248)
Br (0.003, 0.750, 0.507)
Br (0.004, 0.750, 0.999)
Br (0.250, 0.504, 0.751)
Br (0.250, 0.996, 0.751)
Br (0.496, 0.750, 0.999)
Br (0.497, 0.750, 0.507)
Br (0.503, 0.250, 0.493)
Br (0.504, 0.250, 0.001)
Br (0.750, 0.004, 0.249)
Br (0.750, 0.496, 0.249)
Br (0.996, 0.250, 0.001)
Br (0.997, 0.250, 0.493)

## Properties
ΔE_f (raw), eV per atom: -1.796
DOS(E_F), states/eV/cell: 9.628
Total DFT energy (no corrections), eV/atom: -3.613

***

DFT (PBE) results for a relaxed LaPmBiAs crystal.

Cell: 7.807 7.807 7.807 Å, 33.11 33.11 33.11°
Positions (direct):
La (0.000, 0.000, 0.000)
Pm (0.486, 0.486, 0.486)
Bi (0.241, 0.241, 0.241)
As (0.745, 0.745, 0.745)

## Properties
DOS(E_F), states/eV/cell: 0.705
Total DFT energy (no corrections), eV/atom: -5.804
Formation energy, eV per atom: -1.25